Entry 1:
4
Lattice="-4.010 -1.771 1.004 -2.732 -3.101 -1.773 1.792 -5.226 3.329" Properties=species:S:1:pos:R:3 comment="LiTl2Cu PBE-GGA relaxed" delta_e_f_ev_per_fu=0.35 crystal_system=monoclinic total_energy_ev_per_atom=-2.60 pbc="T T T"
Tl -2.436 -5.120 1.332
Tl 1.753 -5.155 3.277
Li -1.237 -2.525 0.640
Cu -3.712 -7.574 1.921

=====

Entry 2:
4
Lattice="3.554 0.000 0.000 0.000 3.282 0.000 0.000 0.000 7.297" Properties=species:S:1:pos:R:3 comment="LiTl2Cu PBE-GGA relaxed" delta_e_f_ev_per_fu=0.22 crystal_system=orthorhombic total_energy_ev_per_atom=-2.63 pbc="T T T"
Cu 0.000 0.000 3.964
Tl 0.000 0.000 6.937
Tl 1.777 1.641 2.225
Li 1.777 1.641 5.117

=====

Entry 3:
4
Lattice="-1.924 1.285 -3.328 -3.456 -1.727 1.332 -0.996 3.470 1.915" Properties=species:S:1:pos:R:3 comment="Li2TlCu PBE-GGA relaxed" delta_e_f_ev_per_fu=-0.32 crystal_system=tetragonal total_energy_ev_per_atom=-2.65 pbc="T T T"
Li -0.498 1.735 0.958
Li -1.728 -0.863 0.666
Tl -3.188 1.514 -0.040
Cu -0.962 0.642 -1.664